1.
Crystalline Y6Sn3C2 at its relaxed geometry, computed with PBE.

**Crystal system**: tetragonal
**Formation energy from the elements**: -503 meV per atom
**Space-group type**: No. 139
**Calculated volume**: 286 Å³/f.u.

a = 12.877 Å, b = 12.877 Å, c = 12.877 Å
α = 158.51°, β = 158.51°, γ = 30.57°
Fractional positions:
Y (0.084, 0.584, 0.500)
Y (0.195, 0.195, 0.000)
Y (0.416, 0.916, 0.500)
Y (0.584, 0.084, 0.500)
Y (0.805, 0.805, 0.000)
Y (0.916, 0.416, 0.500)
Sn (0.323, 0.323, 0.000)
Sn (0.500, 0.500, 0.000)
Sn (0.677, 0.677, 0.000)
C (0.103, 0.103, 0.000)
C (0.897, 0.897, 0.000)


2.
Crystalline Cs3TeF at its relaxed geometry, computed with PBE.

**Crystal system**: hexagonal
**Energy relative to the lowest polymorph listed for this composition**: 0.124 eV per atom
**Formation energy from raw total energies**: -1.5596 eV/atom
**Space-group type**: No. 194
**Calculated volume**: 207 Å³/f.u.

a = 6.362 Å, b = 6.362 Å, c = 11.821 Å
α = 90.00°, β = 90.00°, γ = 120.00°
Fractional positions:
Cs (0.000, 0.000, 0.250)
Cs (0.000, 0.000, 0.750)
Cs (0.333, 0.667, 0.071)
Cs (0.333, 0.667, 0.429)
Cs (0.667, 0.333, 0.571)
Cs (0.667, 0.333, 0.929)
Te (0.333, 0.667, 0.750)
Te (0.667, 0.333, 0.250)
F (0.000, 0.000, 0.000)
F (0.000, 0.000, 0.500)


3.
Crystalline SrBe2Mo at its relaxed geometry, computed with PBE.

**Crystal system**: tetragonal
**Formation energy from the elements**: 630 meV per atom
**Energy relative to the lowest polymorph listed for this composition**: 0.252 eV per atom
**Space-group type**: No. 99
**Calculated volume**: 64 Å³/f.u.

a = 2.867 Å, b = 2.867 Å, c = 7.750 Å
α = 90.00°, β = 90.00°, γ = 90.00°
Fractional positions:
Sr (0.000, 0.000, 0.000)
Be (0.000, 0.000, 0.436)
Be (0.500, 0.500, 0.314)
Mo (0.500, 0.500, 0.643)


4.
Crystalline FeHg2Rh at its relaxed geometry, computed with PBE.

**Crystal system**: trigonal
**Formation energy from the elements**: 386 meV per atom
**Energy relative to the lowest polymorph listed for this composition**: 0.211 eV per atom
**Space-group type**: No. 166
**Calculated volume**: 70 Å³/f.u.

a = 9.087 Å, b = 9.087 Å, c = 9.087 Å
α = 19.00°, β = 19.00°, γ = 19.00°
Fractional positions:
Fe (0.000, 0.000, 0.000)
Hg (0.251, 0.251, 0.251)
Hg (0.749, 0.749, 0.749)
Rh (0.500, 0.500, 0.500)